RbAgAu2: optimized geometry, PBE.

POSCAR file:
```
RbAgAu2
1.0
-2.685 2.685 9.507
2.685 -2.685 9.507
2.685 2.685 -9.507
Rb Ag Au
2 2 4
direct
0.375 0.625 0.750
0.625 0.375 0.250
0.125 0.875 0.250
0.875 0.125 0.750
0.000 0.000 0.000
0.000 0.000 0.500
0.000 0.500 0.000
0.500 0.000 0.500
```

Values from the calculation:
As for the space-group type: I4_1/amd. The energy relative to the lowest polymorph listed for this composition is 60.2 meV per atom. Its crystal system is tetragonal. The formation energy comes out at -108 meV/atom. As for the total moment: 0.00 μB per cell. The calculated total energy comes out at -21.61 eV per cell.

***

AcCoTe2: optimized geometry, PBE.

POSCAR file:
```
AcCoTe2
1.0
2.513 1.451 8.290
-2.513 1.451 8.290
0.000 -2.902 8.290
Ac Co Te
1 1 2
direct
0.000 0.000 0.000
0.500 0.500 0.500
0.400 0.400 0.400
0.600 0.600 0.600
```

Values from the calculation:
As for the space-group type: R-3m. For the formation energy without anion corrections, the calculation gives -0.406 eV per atom. Its crystal system is trigonal. As for the total moment: 2.00 μB per cell. The calculated total energy comes out at -19.12 eV per cell.

***

ThMgGa2: optimized geometry, PBE.

POSCAR file:
```
ThMgGa2
1.0
2.243 1.295 5.208
-2.243 1.295 5.208
0.000 -2.590 5.208
Th Mg Ga
1 1 2
direct
0.000 0.000 0.000
0.500 0.500 0.500
0.221 0.221 0.221
0.779 0.779 0.779
```

Values from the calculation:
As for the space-group type: R-3m. Its crystal system is trigonal. The formation energy comes out at -348 meV/atom. As for the total moment: 0.00 μB per cell. The calculated total energy comes out at -16.46 eV per cell.

***

Zr2CoBr: optimized geometry, PBE.

POSCAR file:
```
Zr2CoBr
1.0
3.112 -3.719 0.000
3.112 3.719 0.000
0.000 0.000 3.168
Zr Co Br
2 1 1
direct
0.000 0.500 0.000
0.500 0.000 0.000
0.000 0.000 0.500
0.500 0.500 0.500
```

Values from the calculation:
As for the space-group type: Cmmm. The energy relative to the lowest polymorph listed for this composition is 449.2 meV per atom. For the formation energy without anion corrections, the calculation gives -0.014 eV per atom. Its crystal system is orthorhombic. As for the total moment: 0.80 μB per cell. The calculated total energy comes out at -25.93 eV per cell.

***

ZnBMo2: optimized geometry, PBE.

POSCAR file:
```
ZnBMo2
1.0
-1.827 1.827 8.752
1.827 -1.827 8.752
1.827 1.827 -8.752
Zn B Mo
2 2 4
direct
0.000 0.000 0.000
0.750 0.250 0.500
0.250 0.750 0.500
0.500 0.500 0.000
0.145 0.625 0.020
0.375 0.395 0.520
0.605 0.125 0.980
0.875 0.855 0.480
```

Values from the calculation:
As for the space-group type: I-42d. The energy relative to the lowest polymorph listed for this composition is 352.7 meV per atom. Its crystal system is tetragonal. The formation energy comes out at 863 meV/atom. As for the total moment: 0.00 μB per cell. The calculated total energy comes out at -52.32 eV per cell.

***

La14SmTh: optimized geometry, PBE.

POSCAR file:
```
La14SmTh
1.0
7.389 0.000 0.000
0.000 7.389 0.000
0.000 0.000 10.520
La Sm Th
14 1 1
direct
0.000 0.000 0.000
0.000 0.500 0.000
0.000 0.500 0.500
0.244 0.244 0.255
0.244 0.244 0.745
0.244 0.756 0.255
0.244 0.756 0.745
0.500 0.000 0.000
0.500 0.000 0.500
0.500 0.500 0.000
0.756 0.244 0.255
0.756 0.244 0.745
0.756 0.756 0.255
0.756 0.756 0.745
0.500 0.500 0.500
0.000 0.000 0.500
```

Values from the calculation:
As for the space-group type: P4/mmm. Its crystal system is tetragonal. The formation energy comes out at 14 meV/atom. As for the total moment: 0.00 μB per cell. The calculated total energy comes out at -80.91 eV per cell.

***

CaDyPtRh: optimized geometry, PBE.

POSCAR file:
```
CaDyPtRh
1.0
0.000 3.449 3.449
3.449 0.000 3.449
3.449 3.449 0.000
Ca Dy Pt Rh
1 1 1 1
direct
0.000 0.000 0.000
0.500 0.500 0.500
0.250 0.250 0.250
0.750 0.750 0.750
```

Values from the calculation:
As for the space-group type: F-43m. The energy relative to the lowest polymorph listed for this composition is 32.6 meV per atom. Its crystal system is cubic. The formation energy comes out at -838 meV/atom. As for the total moment: 0.00 μB per cell. The calculated total energy comes out at -23.35 eV per cell.

***

Zn6XeO6: optimized geometry, PBE.

POSCAR file:
```
Zn6XeO6
1.0
5.786 0.000 0.000
0.000 5.786 0.000
0.000 0.000 5.786
Zn Xe O
6 1 6
direct
0.000 0.252 0.500
0.000 0.748 0.500
0.252 0.500 0.000
0.500 0.000 0.252
0.500 0.000 0.748
0.748 0.500 0.000
0.000 0.000 0.000
0.000 0.500 0.252
0.000 0.500 0.748
0.252 0.000 0.500
0.500 0.252 0.000
0.500 0.748 0.000
0.748 0.000 0.500
```

Values from the calculation:
As for the space-group type: Pm-3. For the formation energy without anion corrections, the calculation gives -1.118 eV per atom. Its crystal system is cubic. As for the total moment: 0.00 μB per cell. The calculated total energy comes out at -51.96 eV per cell.

***

NpVMoW: optimized geometry, PBE.

POSCAR file:
```
NpVMoW
1.0
0.000 3.219 3.219
3.219 0.000 3.219
3.219 3.219 0.000
Np V Mo W
1 1 1 1
direct
0.000 0.000 0.000
0.750 0.750 0.750
0.500 0.500 0.500
0.250 0.250 0.250
```

Values from the calculation:
As for the space-group type: F-43m. Its crystal system is cubic. The formation energy comes out at 380 meV/atom. As for the total moment: 2.37 μB per cell. The calculated total energy comes out at -44.32 eV per cell.

***

CaScSi2: optimized geometry, PBE.

POSCAR file:
```
CaScSi2
1.0
3.352 0.000 0.000
0.000 3.352 0.000
0.000 0.000 7.723
Ca Sc Si
1 1 2
direct
0.000 0.000 0.000
0.500 0.500 0.378
0.000 0.000 0.602
0.500 0.500 0.728
```

Values from the calculation:
As for the space-group type: P4mm. The energy relative to the lowest polymorph listed for this composition is 302.2 meV per atom. For the formation energy without anion corrections, the calculation gives -0.149 eV per atom. Its crystal system is tetragonal. As for the total moment: 0.21 μB per cell. The calculated total energy comes out at -19.77 eV per cell.

***

Pu2ReNi: optimized geometry, PBE.

POSCAR file:
```
Pu2ReNi
1.0
4.904 0.000 0.000
0.000 4.904 0.000
0.000 0.000 3.164
Pu Re Ni
2 1 1
direct
0.000 0.500 0.000
0.500 0.000 0.000
0.000 0.000 0.500
0.500 0.500 0.500
```

Values from the calculation:
As for the space-group type: P4/mmm. Its crystal system is tetragonal. The formation energy comes out at 122 meV/atom. As for the total moment: 9.03 μB per cell. The calculated total energy comes out at -46.40 eV per cell.

***

Tl2HgW: optimized geometry, PBE.

POSCAR file:
```
Tl2HgW
1.0
0.000 3.650 3.650
3.650 0.000 3.650
3.650 3.650 0.000
Tl Hg W
2 1 1
direct
0.000 0.000 0.000
0.250 0.250 0.250
0.500 0.500 0.500
0.750 0.750 0.750
```

Values from the calculation:
As for the space-group type: F-43m. The energy relative to the lowest polymorph listed for this composition is 439.9 meV per atom. Its crystal system is cubic. The formation energy comes out at 1156 meV/atom. As for the total moment: 3.42 μB per cell. The calculated total energy comes out at -13.36 eV per cell.

***

Pm3Ag5H12: optimized geometry, PBE.

POSCAR file:
```
Pm3Ag5H12
1.0
-6.228 6.228 6.228
6.228 -6.228 6.228
6.228 6.228 -6.228
Pm Ag H
12 20 48
direct
0.125 0.250 0.375
0.125 0.375 0.750
0.250 0.375 0.125
0.250 0.875 0.625
0.375 0.125 0.250
0.375 0.750 0.125
0.625 0.250 0.875
0.625 0.875 0.750
0.750 0.125 0.375
0.750 0.625 0.875
0.875 0.625 0.250
0.875 0.750 0.625
0.000 0.000 0.000
0.000 0.000 0.500
0.000 0.500 0.000
0.000 0.500 0.500
0.125 0.750 0.875
0.125 0.875 0.250
0.250 0.125 0.875
0.250 0.625 0.375
0.375 0.250 0.625
0.375 0.625 0.750
0.500 0.000 0.000
0.500 0.000 0.500
0.500 0.500 0.000
0.500 0.500 0.500
0.625 0.375 0.250
0.625 0.750 0.375
0.750 0.375 0.625
0.750 0.875 0.125
0.875 0.125 0.750
0.875 0.250 0.125
0.037 0.215 0.130
0.037 0.322 0.907
0.085 0.715 0.678
0.085 0.870 0.407
0.093 0.630 0.415
0.093 0.963 0.678
0.130 0.037 0.215
0.130 0.593 0.915
0.178 0.215 0.585
0.178 0.463 0.593
0.215 0.130 0.037
0.215 0.585 0.178
0.285 0.322 0.915
0.285 0.463 0.370
0.322 0.907 0.037
0.322 0.915 0.285
0.370 0.285 0.463
0.370 0.585 0.907
0.407 0.085 0.870
0.407 0.822 0.537
0.415 0.093 0.630
0.415 0.822 0.785
0.463 0.370 0.285
0.463 0.593 0.178
0.537 0.407 0.822
0.537 0.630 0.715
0.585 0.178 0.215
0.585 0.907 0.370
0.593 0.178 0.463
0.593 0.915 0.130
0.630 0.415 0.093
0.630 0.715 0.537
0.678 0.085 0.715
0.678 0.093 0.963
0.715 0.537 0.630
0.715 0.678 0.085
0.785 0.415 0.822
0.785 0.870 0.963
0.822 0.537 0.407
0.822 0.785 0.415
0.870 0.407 0.085
0.870 0.963 0.785
0.907 0.037 0.322
0.907 0.370 0.585
0.915 0.130 0.593
0.915 0.285 0.322
0.963 0.678 0.093
0.963 0.785 0.870
```

Values from the calculation:
As for the space-group type: Ia-3d. Its crystal system is cubic. As for the total moment: 0.00 μB per cell. The calculated total energy comes out at -286.98 eV per cell.

***

Pr13Er2: optimized geometry, PBE.

POSCAR file:
```
Pr13Er2
1.0
3.638 2.100 11.883
-3.638 2.100 11.883
0.000 -4.200 11.883
Pr Er
13 2
direct
0.000 0.000 0.000
0.042 0.547 0.547
0.205 0.712 0.712
0.288 0.288 0.795
0.288 0.795 0.288
0.453 0.453 0.958
0.453 0.958 0.453
0.547 0.042 0.547
0.547 0.547 0.042
0.712 0.205 0.712
0.712 0.712 0.205
0.795 0.288 0.288
0.958 0.453 0.453
0.206 0.206 0.206
0.794 0.794 0.794
```

Values from the calculation:
As for the space-group type: R-3m. The energy relative to the lowest polymorph listed for this composition is 81.3 meV per atom. Its crystal system is trigonal. The formation energy comes out at 135 meV/atom. As for the total moment: 0.00 μB per cell. The calculated total energy comes out at -69.23 eV per cell.

***

Cu5SeO8: optimized geometry, PBE.

POSCAR file:
```
Cu5SeO8
1.0
0.000 4.237 4.237
4.237 0.000 4.237
4.237 4.237 0.000
Cu Se O
5 1 8
direct
0.000 0.000 0.000
0.373 0.373 0.373
0.373 0.373 0.882
0.373 0.882 0.373
0.882 0.373 0.373
0.750 0.750 0.750
0.134 0.134 0.134
0.134 0.134 0.599
0.134 0.599 0.134
0.143 0.619 0.619
0.599 0.134 0.134
0.619 0.143 0.619
0.619 0.619 0.143
0.619 0.619 0.619
```

Values from the calculation:
As for the space-group type: F-43m. For the formation energy without anion corrections, the calculation gives -0.403 eV per atom. Its crystal system is cubic. As for the total moment: 6.49 μB per cell. The calculated total energy comes out at -69.27 eV per cell.

***

La3Sb2H2: optimized geometry, PBE.

POSCAR file:
```
La3Sb2H2
1.0
6.764 0.000 0.000
0.000 7.604 0.000
-3.808 0.000 7.089
La Sb H
6 4 4
direct
0.000 0.000 0.000
0.000 0.500 0.500
0.362 0.077 0.730
0.362 0.423 0.230
0.638 0.577 0.770
0.638 0.923 0.270
0.239 0.699 0.893
0.239 0.801 0.393
0.761 0.199 0.607
0.761 0.301 0.107
0.349 0.133 0.083
0.349 0.367 0.583
0.651 0.633 0.417
0.651 0.867 0.917
```

Values from the calculation:
As for the space-group type: P2_1/c. The energy relative to the lowest polymorph listed for this composition is 3.1 meV per atom. Its crystal system is monoclinic. As for the total moment: 0.00 μB per cell. The calculated total energy comes out at -71.11 eV per cell.

***

Sm4Ho2Cd: optimized geometry, PBE.

POSCAR file:
```
Sm4Ho2Cd
1.0
8.321 -1.764 0.000
8.321 1.764 0.000
-3.936 0.000 7.616
Sm Ho Cd
4 2 1
direct
0.083 0.083 0.204
0.369 0.369 0.109
0.631 0.631 0.891
0.917 0.917 0.796
0.217 0.217 0.639
0.783 0.783 0.361
0.000 0.000 0.500
```

Values from the calculation:
As for the space-group type: C2/m. Its crystal system is monoclinic. The formation energy comes out at 32 meV/atom. As for the total moment: 0.00 μB per cell. The calculated total energy comes out at -28.72 eV per cell.